Entry 1:
Material: NpTc2P2Rh
Method: DFT, PBE
State: relaxed

Summary:
* total DFT energy (no corrections): -9.1813 eV/atom
* calculated formation energy: -0.54 eV per atom
* total magnetic moment: 3.506 μB/f.u.

Unit cell a=4.009 b=5.978 c=7.699 alpha=90.00 beta=90.00 gamma=90.00
Fractional coordinates of all 12 atoms:
Tc: 0.500 0.532 0.939
Tc: 0.000 0.870 0.830
Tc: 0.500 0.032 0.061
Tc: 0.000 0.370 0.170
P: 0.000 0.757 0.113
P: 0.500 0.261 0.319
P: 0.000 0.257 0.887
P: 0.500 0.761 0.681
Np: 0.000 0.470 0.562
Np: 0.000 0.970 0.438
Rh: 0.500 0.656 0.293
Rh: 0.500 0.156 0.707

=====

Entry 2:
Material: Mg3W
Method: DFT, PBE
State: relaxed

Summary:
* total DFT energy (no corrections): -4.1295 eV/atom
* calculated formation energy: 0.30 eV per atom
* total magnetic moment: 0.000 μB/f.u.

Unit cell a=2.975 b=2.975 c=9.982 alpha=90.00 beta=90.00 gamma=120.00
Fractional coordinates of all 4 atoms:
W: 0.000 0.000 0.000
Mg: 0.000 0.000 0.500
Mg: 0.333 0.667 0.236
Mg: 0.333 0.667 0.764

=====

Entry 3:
Material: BaBr
Method: DFT, PBE
State: relaxed

Summary:
* total DFT energy (no corrections): -2.9465 eV/atom
* formation energy from raw total energies: -1148.7 meV/atom
* total magnetic moment: 0.007 μB/f.u.

Unit cell a=5.450 b=5.450 c=15.146 alpha=90.00 beta=90.00 gamma=120.00
Fractional coordinates of all 8 atoms:
Br: 0.333 0.667 0.750
Br: 0.000 0.000 0.750
Br: 0.667 0.333 0.250
Br: 0.000 0.000 0.250
Ba: 0.333 0.667 0.371
Ba: 0.333 0.667 0.129
Ba: 0.667 0.333 0.629
Ba: 0.667 0.333 0.871

=====

Entry 4:
Material: CrAsPdBr2
Method: DFT, PBE
State: relaxed

Summary:
* total DFT energy (no corrections): -4.1716 eV/atom
* formation energy from raw total energies: 390.7 meV/atom
* total magnetic moment: 2.431 μB/f.u.

Unit cell a=5.028 b=5.028 c=4.804 alpha=90.00 beta=90.00 gamma=90.00
Fractional coordinates of all 5 atoms:
Pd: 0.500 0.500 0.500
Cr: 0.000 0.000 0.000
Br: 0.000 0.500 0.000
Br: 0.500 0.000 0.000
As: 0.000 0.000 0.500

=====

Entry 5:
Material: Al2Cu3Pd
Method: DFT, PBE
State: relaxed

Summary:
* total DFT energy (no corrections): -4.4953 eV/atom
* calculated formation energy: -0.33 eV per atom
* total magnetic moment: 0.000 μB/f.u.

Unit cell a=3.744 b=6.170 c=8.223 alpha=115.47 beta=90.00 gamma=107.66
Fractional coordinates of all 12 atoms:
Pd: 0.132 0.265 0.110
Pd: 0.868 0.735 0.890
Cu: 0.956 0.912 0.619
Cu: 0.381 0.761 0.382
Cu: 0.619 0.239 0.618
Cu: 0.714 0.428 0.388
Cu: 0.286 0.572 0.612
Cu: 0.044 0.088 0.381
Al: 0.521 0.042 0.849
Al: 0.203 0.405 0.850
Al: 0.797 0.595 0.150
Al: 0.479 0.958 0.151

=====

Entry 6:
Material: TmPu2Sb
Method: DFT, PBE
State: relaxed

Summary:
* total DFT energy (no corrections): -9.7144 eV/atom
* formation energy from raw total energies: -399.9 meV/atom
* total magnetic moment: 12.230 μB/f.u.

Unit cell a=5.034 b=4.536 c=4.536 alpha=90.00 beta=90.00 gamma=90.00
Fractional coordinates of all 4 atoms:
Sb: 0.500 0.000 0.000
Tm: 0.500 0.500 0.500
Pu: 0.000 0.000 0.500
Pu: 0.000 0.500 0.000

=====

Entry 7:
Material: Dy6AsC3
Method: DFT, PBE
State: relaxed

Summary:
* total DFT energy (no corrections): -6.4379 eV/atom
* calculated formation energy: -0.44 eV per atom
* total magnetic moment: 1.311 μB/f.u.

Unit cell a=3.769 b=10.586 c=10.821 alpha=109.30 beta=90.00 gamma=90.00
Fractional coordinates of all 20 atoms:
C: 0.250 0.536 0.170
C: 0.750 0.464 0.830
C: 0.750 0.691 0.486
C: 0.250 0.309 0.514
C: 0.250 0.842 0.911
C: 0.750 0.158 0.089
Dy: 0.250 0.074 0.917
Dy: 0.750 0.708 0.260
Dy: 0.250 0.292 0.740
Dy: 0.250 0.219 0.242
Dy: 0.750 0.134 0.461
Dy: 0.250 0.610 0.942
Dy: 0.750 0.781 0.758
Dy: 0.250 0.538 0.395
Dy: 0.750 0.390 0.058
Dy: 0.750 0.926 0.083
Dy: 0.750 0.462 0.605
Dy: 0.250 0.866 0.539
As: 0.250 0.939 0.298
As: 0.750 0.061 0.702

=====

Entry 8:
Material: SbTeIr2
Method: DFT, PBE
State: relaxed

Summary:
* total DFT energy (no corrections): -6.0669 eV/atom
* formation energy from raw total energies: 179.6 meV/atom
* total magnetic moment: 0.000 μB/f.u.

Unit cell a=7.274 b=7.274 c=7.274 alpha=32.60 beta=32.60 gamma=32.60
Fractional coordinates of all 4 atoms:
Sb: 0.540 0.540 0.540
Ir: 0.253 0.253 0.253
Ir: 0.996 0.996 0.996
Te: 0.711 0.711 0.711